No. 1
Here is crystalline TlIn4Tc2 at its relaxed geometry from Alexandria via LeMat-Bulk. Energies are from PBE.

Formation energy from the elements   924 meV/atom

a = 7.9459 Å, b = 7.9459 Å, c = 7.9459 Å
α = 139.06°, β = 139.06°, γ = 59.28°
Last column: nearest neighbours and their distance in Å.
Sites, in units of the cell vectors:
Tl 0.0000 0.0000 0.0000  6 In 2.78-2.99
In 0.0000 0.5000 0.5000  2 Tl 2.78, 4 Tc 2.99
In 0.2165 0.2165 0.0000  1 Tc 2.82, 1 Tl 2.99
In 0.5000 0.0000 0.5000  2 Tl 2.78, 4 Tc 2.99
In 0.7835 0.7835 0.0000  1 Tc 2.82, 1 Tl 2.99
Tc 0.4210 0.4210 0.0000  1 Tc 2.18
Tc 0.5790 0.5790 0.0000  1 Tc 2.18

No. 2
Here is crystalline TlIn2Tc at its relaxed geometry from Alexandria via LeMat-Bulk. Energies are from PBE.

Formation energy from the elements   647 meV/atom

a = 10.6129 Å, b = 10.6129 Å, c = 10.6129 Å
α = 156.66°, β = 156.66°, γ = 33.24°
Last column: nearest neighbours and their distance in Å.
Sites, in units of the cell vectors:
Tl 0.0000 0.0000 0.0000  4 In 3.00, 4 Tc 3.04
Tl 0.7500 0.2500 0.5000  4 In 3.00, 4 Tc 3.04
In 0.1516 0.6250 0.0266  4 In 2.88-3.20, 2 Tc 2.92, 2 Tl 3.00
In 0.3750 0.4016 0.5266  4 In 2.88-3.20, 2 Tc 2.92, 2 Tl 3.00
In 0.5984 0.1250 0.9734  4 In 2.88-3.20, 2 Tc 2.92, 2 Tl 3.00
In 0.8750 0.8484 0.4734  4 In 2.88-3.20, 2 Tc 2.92, 2 Tl 3.00
Tc 0.2500 0.7500 0.5000  4 In 2.92, 4 Tl 3.04
Tc 0.5000 0.5000 0.0000  4 In 2.92, 4 Tl 3.04

No. 3
Here is crystalline Tl2InTc at its relaxed geometry from Alexandria via LeMat-Bulk. Energies are from PBE.

Polymorph energy (0 for the lowest one)   0.279 eV per atom
Formation energy from the elements   643 meV/atom

a = 5.6013 Å, b = 5.6013 Å, c = 5.6013 Å
α = 134.14°, β = 134.14°, γ = 66.86°
Last column: nearest neighbours and their distance in Å.
Sites, in units of the cell vectors:
Tl 0.2500 0.7500 0.5000  4 Tl 3.09, 4 In 3.20, 4 Tc 3.20
Tl 0.7500 0.2500 0.5000  4 Tl 3.09, 4 In 3.20, 4 Tc 3.20
In 0.0000 0.0000 0.0000  4 Tc 3.09, 8 Tl 3.20
Tc 0.5000 0.5000 0.0000  4 In 3.09, 8 Tl 3.20

No. 4
Here is crystalline TlInTc2 at its relaxed geometry from Alexandria via LeMat-Bulk. Energies are from PBE.

Polymorph energy (0 for the lowest one)   0.519 eV per atom
Formation energy from the elements   716 meV/atom

a = 3.1618 Å, b = 4.6259 Å, c = 5.0649 Å
α = 90.00°, β = 90.00°, γ = 90.00°
Last column: nearest neighbours and their distance in Å.
Sites, in units of the cell vectors:
Tl 0.0000 0.0000 0.0000  4 Tc 2.80, 4 In 2.99
In 0.5000 0.0000 0.5000  4 Tc 2.80, 4 Tl 2.99
Tc 0.0000 0.5000 0.5000  4 In 2.80, 4 Tc 2.99
Tc 0.5000 0.5000 0.0000  4 Tl 2.80, 4 Tc 2.99